A plane-wave DFT calculation with GGA-PBE was carried out for PmCuSbAu after structural relaxation.

Total moment   0.00 Bohr magnetons per cell
DOS(E_F)   1.87 states/eV/f.u.
Symmetry   F-43m
Formation energy (no corrections)   -0.425 eV per atom

POSCAR file:
```
PmCuSbAu
1.0
7.0424 0.0000 0.0000
0.0000 7.0424 0.0000
0.0000 0.0000 7.0424
Pm Cu Sb Au
4 4 4 4
Cartesian
0.0000 0.0000 0.0000
0.0000 3.5212 3.5212
3.5212 0.0000 3.5212
3.5212 3.5212 0.0000
1.7606 1.7606 5.2818
1.7606 5.2818 1.7606
5.2818 1.7606 1.7606
5.2818 5.2818 5.2818
0.0000 0.0000 3.5212
0.0000 3.5212 0.0000
3.5212 0.0000 0.0000
3.5212 3.5212 3.5212
1.7606 1.7606 1.7606
1.7606 5.2818 5.2818
5.2818 1.7606 5.2818
5.2818 5.2818 1.7606
```


A plane-wave DFT calculation with GGA-PBE was carried out for PmScCuAu after structural relaxation.

Total moment   0.00 Bohr magnetons per cell
DOS(E_F)   3.85 states/eV/f.u.
Symmetry   F-43m
Energy relative to the elements   -0.453 eV per atom

POSCAR file:
```
PmScCuAu
1.0
7.0150 0.0000 0.0000
0.0000 7.0150 0.0000
0.0000 0.0000 7.0150
Pm Sc Cu Au
4 4 4 4
Cartesian
0.0000 0.0000 0.0000
0.0000 3.5075 3.5075
3.5075 0.0000 3.5075
3.5075 3.5075 0.0000
0.0000 0.0000 3.5075
0.0000 3.5075 0.0000
3.5075 0.0000 0.0000
3.5075 3.5075 3.5075
1.7537 1.7537 1.7537
1.7537 5.2612 5.2612
5.2612 1.7537 5.2612
5.2612 5.2612 1.7537
1.7537 1.7537 5.2612
1.7537 5.2612 1.7537
5.2612 1.7537 1.7537
5.2612 5.2612 5.2612
```


Question: Among the records above, which one has the lowest DOS(E_F)?
Answer: PmCuSbAu


Question: total moment of number 1 (PmCuSbAu)?
Answer: 0.00 Bohr magnetons per cell